Entry 1:
Density functional theory data (PBE) for a relaxed structure of MgCoAgSn.

```
MgCoAgSn
1.0
6.465 0.000 0.000
0.000 6.465 0.000
0.000 0.000 6.465
Mg Co Ag Sn
4 4 4 4
Direct
0.000 0.000 0.000
0.000 0.500 0.500
0.500 0.000 0.500
0.500 0.500 0.000
0.250 0.250 0.750
0.250 0.750 0.250
0.750 0.250 0.250
0.750 0.750 0.750
0.250 0.250 0.250
0.250 0.750 0.750
0.750 0.250 0.750
0.750 0.750 0.250
0.000 0.000 0.500
0.000 0.500 0.000
0.500 0.000 0.000
0.500 0.500 0.500
```

Results
Relative energy among the computed polymorphs   0.000 eV/atom
Space-group type   F-43m (216)

---

Entry 2:
Density functional theory data (PBE) for a relaxed structure of MgTlCoAg.

```
MgTlCoAg
1.0
6.527 0.000 0.000
0.000 6.527 0.000
0.000 0.000 6.527
Mg Tl Co Ag
4 4 4 4
Direct
0.000 0.000 0.000
0.000 0.500 0.500
0.500 0.000 0.500
0.500 0.500 0.000
0.000 0.000 0.500
0.000 0.500 0.000
0.500 0.000 0.000
0.500 0.500 0.500
0.250 0.250 0.750
0.250 0.750 0.250
0.750 0.250 0.250
0.750 0.750 0.750
0.250 0.250 0.250
0.250 0.750 0.750
0.750 0.250 0.750
0.750 0.750 0.250
```

Results
Relative energy among the computed polymorphs   0.000 eV/atom
Space-group type   F-43m (216)

---

Entry 3:
Density functional theory data (PBE) for a relaxed structure of MgCoAgW.

```
MgCoAgW
1.0
6.168 0.000 0.000
0.000 6.168 0.000
0.000 0.000 6.168
Mg Co Ag W
4 4 4 4
Direct
0.000 0.000 0.000
0.000 0.500 0.500
0.500 0.000 0.500
0.500 0.500 0.000
0.000 0.000 0.500
0.000 0.500 0.000
0.500 0.000 0.000
0.500 0.500 0.500
0.250 0.250 0.750
0.250 0.750 0.250
0.750 0.250 0.250
0.750 0.750 0.750
0.250 0.250 0.250
0.250 0.750 0.750
0.750 0.250 0.750
0.750 0.750 0.250
```

Results
Relative energy among the computed polymorphs   0.000 eV/atom
Space-group type   F-43m (216)

---

Entry 4:
Density functional theory data (PBE) for a relaxed structure of MgCoAgW.

```
MgCoAgW
1.0
6.235 0.000 0.000
0.000 6.235 0.000
0.000 0.000 6.235
Mg Co Ag W
4 4 4 4
Direct
0.000 0.000 0.000
0.000 0.500 0.500
0.500 0.000 0.500
0.500 0.500 0.000
0.250 0.250 0.750
0.250 0.750 0.250
0.750 0.250 0.250
0.750 0.750 0.750
0.250 0.250 0.250
0.250 0.750 0.750
0.750 0.250 0.750
0.750 0.750 0.250
0.000 0.000 0.500
0.000 0.500 0.000
0.500 0.000 0.000
0.500 0.500 0.500
```

Results
Relative energy among the computed polymorphs   0.000 eV/atom
Space-group type   F-43m (216)

---

Entry 5:
Density functional theory data (PBE) for a relaxed structure of CoAgSbMo.

```
CoAgSbMo
1.0
6.381 0.000 0.000
0.000 6.381 0.000
0.000 0.000 6.381
Co Ag Sb Mo
4 4 4 4
Direct
0.000 0.000 0.000
0.000 0.500 0.500
0.500 0.000 0.500
0.500 0.500 0.000
0.250 0.250 0.250
0.250 0.750 0.750
0.750 0.250 0.750
0.750 0.750 0.250
0.250 0.250 0.750
0.250 0.750 0.250
0.750 0.250 0.250
0.750 0.750 0.750
0.000 0.000 0.500
0.000 0.500 0.000
0.500 0.000 0.000
0.500 0.500 0.500
```

Results
Relative energy among the computed polymorphs   0.000 eV/atom
Space-group type   F-43m (216)

---

Entry 6:
Density functional theory data (PBE) for a relaxed structure of CoAgSnMo.

```
CoAgSnMo
1.0
6.399 0.000 0.000
0.000 6.399 0.000
0.000 0.000 6.399
Co Ag Sn Mo
4 4 4 4
Direct
0.000 0.000 0.000
0.000 0.500 0.500
0.500 0.000 0.500
0.500 0.500 0.000
0.250 0.250 0.250
0.250 0.750 0.750
0.750 0.250 0.750
0.750 0.750 0.250
0.250 0.250 0.750
0.250 0.750 0.250
0.750 0.250 0.250
0.750 0.750 0.750
0.000 0.000 0.500
0.000 0.500 0.000
0.500 0.000 0.000
0.500 0.500 0.500
```

Results
Relative energy among the computed polymorphs   0.000 eV/atom
Space-group type   F-43m (216)

---

What is the formula in the fifth record?
CoAgSbMo

---

relative energy among the computed polymorphs of number 2 (MgTlCoAg)?
0.000 eV/atom